# 1
## GaAs2Se4 (GGA-PBE)

Data for a relaxed structure of GaAs2Se4.

The structure in POSCAR format:
```
GaAs2Se4
1.0
7.902 0.000 0.000
0.000 7.902 0.000
0.000 0.000 6.476
Ga As Se
2 4 8
Direct
0.000 0.000 0.000 Ga
0.500 0.500 0.500 Ga
0.000 0.500 0.250 As
0.000 0.500 0.750 As
0.500 0.000 0.250 As
0.500 0.000 0.750 As
0.161 0.309 0.500 Se
0.191 0.661 0.000 Se
0.309 0.839 0.500 Se
0.339 0.191 0.000 Se
0.661 0.809 0.000 Se
0.691 0.161 0.500 Se
0.809 0.339 0.000 Se
0.839 0.691 0.500 Se
```

Uncorrected formation energy ... 0.87 kcal/mol of atoms
Space-group type ... I4/m

***

# 2
## Tb4CdIn3 (GGA-PBE)

Data for a relaxed structure of Tb4CdIn3.

The structure in POSCAR format:
```
Tb4CdIn3
1.0
3.767 0.000 0.000
0.000 3.767 0.000
0.000 0.000 15.106
Tb Cd In
4 1 3
Direct
0.000 0.000 0.123 Tb
0.000 0.000 0.374 Tb
0.000 0.000 0.626 Tb
0.000 0.000 0.877 Tb
0.500 0.500 0.000 Cd
0.500 0.500 0.247 In
0.500 0.500 0.500 In
0.500 0.500 0.753 In
```

Space-group type ... P4/mmm
Formation energy from the elements ... -0.44 eV per atom
Polymorph energy (0 for the lowest one) ... 0.000 kcal/mol of atoms

***

# 3
## LiCdPS4 (GGA-PBE)

Data for a relaxed structure of LiCdPS4.

The structure in POSCAR format:
```
LiCdPS4
1.0
-3.538 3.897 5.100
3.538 -3.897 5.100
3.538 3.897 -5.100
Li Cd P S
2 2 2 8
Direct
0.500 0.000 0.000 Li
0.500 0.500 0.500 Li
0.000 0.000 0.000 Cd
0.500 0.000 0.500 Cd
0.130 0.380 0.750 P
0.870 0.620 0.250 P
0.193 0.722 0.471 S
0.249 0.278 0.971 S
0.258 0.266 0.507 S
0.258 0.751 0.993 S
0.742 0.249 0.007 S
0.742 0.734 0.493 S
0.751 0.722 0.029 S
0.807 0.278 0.529 S
```

Uncorrected formation energy ... -9.25 kcal/mol of atoms
Space-group type ... Imma

***

# 4
## RbHf2Sb2 (GGA-PBE)

Data for a relaxed structure of RbHf2Sb2.

The structure in POSCAR format:
```
RbHf2Sb2
1.0
5.518 0.000 0.000
0.000 5.518 0.000
0.000 0.000 10.405
Rb Hf Sb
2 4 4
Direct
0.000 0.000 0.000 Rb
0.500 0.500 0.500 Rb
0.000 0.000 0.347 Hf
0.000 0.000 0.653 Hf
0.500 0.500 0.153 Hf
0.500 0.500 0.847 Hf
0.000 0.500 0.250 Sb
0.000 0.500 0.750 Sb
0.500 0.000 0.250 Sb
0.500 0.000 0.750 Sb
```

Uncorrected formation energy ... 1.40 kcal/mol of atoms
Space-group type ... I4/mmm
Polymorph energy (0 for the lowest one) ... 8.518 kcal/mol of atoms

***

Final energy for every record listed, in sequence, given in eV per cell: -52.0, -31.2, -55.1, -57.6.
D(E_F) for every record listed, in sequence, given in states/eV/f.u.: 2.05, 6.73, 0.87, 3.78.